# RbYTe2 PBE relaxed
data_RbYTe2
_chemical_formula_sum 'Rb1 Y1 Te2'
_cell_length_a 4.5032
_cell_length_b 4.5032
_cell_length_c 8.7343
_cell_angle_alpha 90.00
_cell_angle_beta 90.00
_cell_angle_gamma 120.00
_symmetry_space_group_name_H-M 'P -3 m 1'
_symmetry_Int_Tables_number 164
_symmetry_space_group_name_Hall '-P 3 2"'
loop_
_atom_site_label
_atom_site_type_symbol
_atom_site_fract_x
_atom_site_fract_y
_atom_site_fract_z
Rb1 Rb 0.0000 0.0000 0.0000
Y1 Y 0.0000 0.0000 0.5000
Te1 Te 0.3333 0.6667 0.6982
# DFT total energy (eV per formula unit): -19.24
# ΔE_f (raw) (eV per atom): -1.38
# Crystal system: trigonal